VASP calculation (PBE with a Hubbard U) on a geometry-optimized RbTi2Mn2O7 structure.

For the density of states at the Fermi level, the calculation gives 0.086 states/eV/atom. For the total energy, the calculation gives -7.873 eV/atom. The symmetry is Imm2 (44).

abc: 3.928 5.268 8.722
angles: 107.58 103.01 90.00
Sites, in units of the cell vectors:
Mn (0.746, 0.262, 0.492)
Mn (0.254, 0.769, 0.508)
O (0.626, 0.038, 0.251)
O (0.500, 0.501, 0.000)
O (0.872, 0.382, 0.744)
Rb (0.000, 0.075, 0.000)
Ti (0.613, 0.692, 0.226)
O (0.128, 0.638, 0.256)
O (0.374, 0.787, 0.749)
Ti (0.387, 0.466, 0.774)
O (0.269, 0.213, 0.537)
O (0.731, 0.676, 0.463)